(1)
Density functional theory data (PBE-GGA) for an optimized crystal structure of RbZrGeO5.

a b c (Å): 6.1045 6.1045 8.0484
angles (deg): 104.54 104.54 106.05
Positions (direct):
Rb1 0.1709 0.8291 0.7500
Rb2 0.8291 0.1709 0.2500
Zr1 0.5000 0.5000 0.0000
Zr2 0.5000 0.5000 0.5000
Ge1 0.1937 0.8063 0.2500
Ge2 0.8063 0.1937 0.7500
O1 0.1224 0.2814 0.8792
O2 0.2207 0.6304 0.3934
O3 0.2814 0.1224 0.3792
O4 0.3696 0.7793 0.1066
O5 0.4467 0.5533 0.7500
O6 0.5533 0.4467 0.2500
O7 0.6304 0.2207 0.8934
O8 0.7186 0.8776 0.6208
O9 0.7793 0.3696 0.6066
O10 0.8776 0.7186 0.1208

E_form (uncorrected) in meV/atom: -2075
Crystal system: monoclinic
M_tot in μB/atom: 0.131

***

(2)
Density functional theory data (PBE-GGA) for an optimized crystal structure of Rb3ZrGe2O8.

a b c (Å): 5.9011 5.9011 8.0983
angles (deg): 90.00 90.00 120.00
Positions (direct):
Rb1 0.0000 0.0000 0.0000
Rb2 0.3333 0.6667 0.7231
Rb3 0.6667 0.3333 0.2769
Zr1 0.0000 0.0000 0.5000
Ge1 0.3333 0.6667 0.2772
Ge2 0.6667 0.3333 0.7228
O1 0.1688 0.3376 0.3484
O2 0.1688 0.8312 0.3484
O3 0.3333 0.6667 0.0602
O4 0.3376 0.1688 0.6516
O5 0.6624 0.8312 0.3484
O6 0.6667 0.3333 0.9398
O7 0.8312 0.1688 0.6516
O8 0.8312 0.6624 0.6516

E_form (uncorrected) in meV/atom: -1971
Crystal system: trigonal
M_tot in μB/atom: 0.076

***

(3)
Density functional theory data (PBE-GGA) for an optimized crystal structure of Re2GeO.

a b c (Å): 4.1930 4.1930 4.1930
angles (deg): 60.00 60.00 60.00
Positions (direct):
Re1 0.2500 0.2500 0.2500
Re2 0.7500 0.7500 0.7500
Ge1 0.0000 0.0000 0.0000
O1 0.5000 0.5000 0.5000

Relative energy among the computed polymorphs in eV per atom: 0.222
E_form (uncorrected) in meV/atom: 563
Crystal system: cubic
M_tot in μB/atom: 0.000

***

(4)
Density functional theory data (PBE-GGA) for an optimized crystal structure of ReGeO6.

a b c (Å): 5.5009 5.5009 4.7229
angles (deg): 96.11 96.11 129.20
Positions (direct):
Re1 0.0000 0.0000 0.0000
Ge1 0.5000 0.5000 0.5000
O1 0.1190 0.3729 0.2452
O2 0.2517 0.2517 0.7474
O3 0.3729 0.1190 0.2452
O4 0.6271 0.8810 0.7548
O5 0.7483 0.7483 0.2526
O6 0.8810 0.6271 0.7548

E_form (uncorrected) in meV/atom: -1010
Crystal system: monoclinic
M_tot in μB/atom: 0.111

***

(5)
Density functional theory data (PBE-GGA) for an optimized crystal structure of Re2GeO2.

a b c (Å): 5.9583 5.9583 5.9583
angles (deg): 147.89 147.89 46.04
Positions (direct):
Re1 0.1248 0.1248 0.0000
Re2 0.8752 0.8752 0.0000
Ge1 0.5000 0.5000 0.0000
O1 0.2500 0.7500 0.5000
O2 0.7500 0.2500 0.5000

Relative energy among the computed polymorphs in eV per atom: 0.000
E_form (uncorrected) in meV/atom: -233
Crystal system: tetragonal
M_tot in μB/atom: 0.000

***

(6)
Density functional theory data (PBE-GGA) for an optimized crystal structure of Re3GeO.

a b c (Å): 4.1084 4.1084 4.1084
angles (deg): 90.00 90.00 90.00
Positions (direct):
Re1 0.0000 0.0000 0.5000
Re2 0.0000 0.5000 0.0000
Re3 0.5000 0.0000 0.0000
Ge1 0.5000 0.5000 0.5000
O1 0.0000 0.0000 0.0000

Relative energy among the computed polymorphs in eV per atom: 0.000
E_form (uncorrected) in meV/atom: 752
Crystal system: cubic
M_tot in μB/atom: 0.000

***

(7)
Density functional theory data (PBE-GGA) for an optimized crystal structure of Re2GeO2.

a b c (Å): 6.9642 6.9642 2.6847
angles (deg): 90.00 90.00 90.00
Positions (direct):
Re1 0.1290 0.3710 0.0000
Re2 0.3710 0.8710 0.0000
Re3 0.6290 0.1290 0.0000
Re4 0.8710 0.6290 0.0000
Ge1 0.0000 0.0000 0.0000
Ge2 0.5000 0.5000 0.0000
O1 0.1220 0.6220 0.5000
O2 0.3780 0.1220 0.5000
O3 0.6220 0.8780 0.5000
O4 0.8780 0.3780 0.5000

Relative energy among the computed polymorphs in eV per atom: 0.577
E_form (uncorrected) in meV/atom: 344
Crystal system: tetragonal
M_tot in μB/atom: 0.000

***

(8)
Density functional theory data (PBE-GGA) for an optimized crystal structure of ReGeO4.

a b c (Å): 6.3062 6.3062 6.3062
angles (deg): 128.32 128.32 76.12
Positions (direct):
Re1 0.0000 0.0000 0.0000
Ge1 0.2500 0.7500 0.5000
O1 0.1216 0.7651 0.1042
O2 0.2349 0.3391 0.3565
O3 0.6609 0.0174 0.8958
O4 0.9826 0.8784 0.6435

E_form (uncorrected) in meV/atom: -1156
Crystal system: tetragonal
M_tot in μB/atom: 0.173

***

(9)
Density functional theory data (PBE-GGA) for an optimized crystal structure of Re2GeO.

a b c (Å): 7.5501 7.5501 7.5501
angles (deg): 147.29 147.29 46.93
Positions (direct):
Re1 0.0319 0.6250 0.9069
Re2 0.3750 0.2819 0.4069
Re3 0.7181 0.1250 0.0931
Re4 0.8750 0.9681 0.5931
Ge1 0.2500 0.7500 0.5000
Ge2 0.5000 0.5000 0.0000
O1 0.0000 0.0000 0.0000
O2 0.7500 0.2500 0.5000

Relative energy among the computed polymorphs in eV per atom: 0.000
E_form (uncorrected) in meV/atom: 342
Crystal system: tetragonal
M_tot in μB/atom: 0.000

***

(10)
Density functional theory data (PBE-GGA) for an optimized crystal structure of ReGeSbO2.

a b c (Å): 3.8327 3.8327 5.8350
angles (deg): 90.00 90.00 90.00
Positions (direct):
Re1 0.0000 0.0000 0.0000
Ge1 0.5000 0.5000 0.0000
Sb1 0.0000 0.0000 0.5000
O1 0.0000 0.5000 0.5000
O2 0.5000 0.0000 0.5000

E_form (uncorrected) in meV/atom: 248
Crystal system: tetragonal
M_tot in μB/atom: 0.290

***

(11)
Density functional theory data (PBE-GGA) for an optimized crystal structure of ScRe2GeO.

a b c (Å): 5.0068 5.0068 3.7377
angles (deg): 90.00 90.00 90.00
Positions (direct):
Sc1 0.0000 0.0000 0.0000
Re1 0.0000 0.5000 0.0000
Re2 0.5000 0.0000 0.0000
Ge1 0.5000 0.5000 0.5000
O1 0.0000 0.0000 0.5000

E_form (uncorrected) in meV/atom: 1283
Crystal system: tetragonal
M_tot in μB/atom: 0.795

***

(12)
Density functional theory data (PBE-GGA) for an optimized crystal structure of SrReGeO6.

a b c (Å): 4.9372 4.9372 9.6246
angles (deg): 90.00 90.00 90.00
Positions (direct):
Sr1 0.0000 0.0000 0.0000
Sr2 0.5000 0.5000 0.5000
Re1 0.0000 0.0000 0.6619
Re2 0.5000 0.5000 0.1619
Ge1 0.0000 0.0000 0.3435
Ge2 0.5000 0.5000 0.8435
O1 0.1674 0.1674 0.5053
O2 0.2419 0.2419 0.8091
O3 0.2440 0.2440 0.2000
O4 0.2560 0.7440 0.7000
O5 0.2581 0.7419 0.3091
O6 0.3326 0.6674 0.0053
O7 0.6674 0.3326 0.0053
O8 0.7419 0.2581 0.3091
O9 0.7440 0.2560 0.7000
O10 0.7560 0.7560 0.2000
O11 0.7581 0.7581 0.8091
O12 0.8326 0.8326 0.5053

E_form (uncorrected) in meV/atom: -1737
Crystal system: tetragonal
M_tot in μB/atom: 0.111

***

> What is the M_tot in the fourth record?

0.111 μB/atom

***

> The highest M_tot belongs to which entry?

ScRe2GeO

***

> What is the formula in the first record?

RbZrGeO5